A geometry-optimized MgCl2F structure. Source: Alexandria, functional PBE.

a b c (Å): 6.3284 6.3284 6.8533
angles (deg): 62.50 62.50 90.00
Last column: nearest neighbours and their distance in Å.
Fractional coordinates of all 8 atoms:
Cl1 0.3750 0.3131 0.7500  2 Mg 2.37
Cl2 0.8750 0.9369 0.7500  2 Mg 2.37
Cl3 0.0631 0.6250 0.2500  2 Mg 2.37
Cl4 0.6869 0.1250 0.2500  2 Mg 2.37
F1 0.5000 0.5000 0.0000  4 Cl 2.84
F2 0.2500 0.7500 0.5000  4 Cl 2.84
Mg1 0.7500 0.2500 0.5000  4 Cl 2.37
Mg2 0.0000 0.0000 0.0000  4 Cl 2.37

Summary:
Its offset from the most stable computed form is 2.55 kcal/mol of atoms. For the density, the calculation gives 1.825 Mg/m³. The size of the total moment is 1.00 μB/f.u. The calculation puts the total energy at -11.74 eV per formula unit. Its raw formation energy is -1.1458 eV/atom.